Entry 1:
A geometry-optimized Dy6CoPd2 structure. Source: the Alexandria database, functional PBE.

Values from the calculation:
mass density = 8.89 g cm⁻³
E_form = -0.458 eV per atom
VASP energy = -5.4698 eV/atom

a b c (Å): 6.515 7.287 11.760
angles (deg): 90.00 123.42 90.00
Fractional positions:
Dy (0.108, 0.034, 0.250)
Dy (0.108, 0.466, 0.750)
Dy (0.230, 0.679, 0.064)
Dy (0.230, 0.821, 0.564)
Dy (0.392, 0.183, 0.064)
Dy (0.392, 0.317, 0.564)
Dy (0.608, 0.683, 0.436)
Dy (0.608, 0.817, 0.936)
Dy (0.770, 0.179, 0.436)
Dy (0.770, 0.321, 0.936)
Dy (0.892, 0.534, 0.250)
Dy (0.892, 0.966, 0.750)
Co (0.500, 0.000, 0.500)
Co (0.500, 0.500, 0.000)
Pd (0.307, 0.114, 0.750)
Pd (0.307, 0.386, 0.250)
Pd (0.693, 0.614, 0.750)
Pd (0.693, 0.886, 0.250)

***

Entry 2:
A geometry-optimized PmDyCoPd structure. Source: the Alexandria database, functional PBE.

Values from the calculation:
mass density = 9.34 g cm⁻³
E_form = -0.413 eV per atom
VASP energy = -5.8256 eV/atom

a b c (Å): 4.918 4.918 4.918
angles (deg): 60.00 60.00 60.00
Fractional positions:
Pm (0.000, 0.000, 0.000)
Dy (0.500, 0.500, 0.500)
Co (0.250, 0.250, 0.250)
Pd (0.750, 0.750, 0.750)

***

Entry 3:
A geometry-optimized PrDyCoPd structure. Source: the Alexandria database, functional PBE.

Values from the calculation:
mass density = 9.04 g cm⁻³
E_form = -0.369 eV per atom
VASP energy = -5.7893 eV/atom

a b c (Å): 4.957 4.957 4.957
angles (deg): 60.00 60.00 60.00
Fractional positions:
Pr (0.000, 0.000, 0.000)
Dy (0.500, 0.500, 0.500)
Co (0.250, 0.250, 0.250)
Pd (0.750, 0.750, 0.750)

***

Entry 4:
A geometry-optimized DyPuCoPd structure. Source: the Alexandria database, functional PBE.

Values from the calculation:
mass density = 11.73 g cm⁻³
E_form = -0.266 eV per atom
VASP energy = -8.0741 eV/atom

a b c (Å): 4.856 4.856 4.856
angles (deg): 60.00 60.00 60.00
Fractional positions:
Dy (0.000, 0.000, 0.000)
Pu (0.500, 0.500, 0.500)
Co (0.250, 0.250, 0.250)
Pd (0.750, 0.750, 0.750)